Computed, not measured: a relaxed structure of SrPtS at the PBE level of DFT.

Values from the calculation:
- DFT total energy: -5.122 eV/atom
- Space group: Pm (6)
- V: 139.8 Å³/cell
- Crystal system: monoclinic

Cell: 6.070 4.447 6.070 Å, 112.22 93.68 67.79°
Sites, in units of the cell vectors:
Pt1 0.189 0.216 0.323
Pt2 0.689 0.216 0.823
Sr1 0.091 0.525 0.922
Sr2 0.591 0.525 0.422
S1 0.991 0.818 0.521
S2 0.491 0.818 0.021